No. 1
This record from Alexandria describes an optimized crystal structure of P4WCl. The functional is PBE-GGA.

Geometry as POSCAR:
```
P4WCl
1.0
0.0000 3.5896 3.5896
3.5896 0.0000 3.5896
3.5896 3.5896 0.0000
P W Cl
4 1 1
direct
0.8564 0.3812 0.3812 P
0.3812 0.3812 0.8564 P
0.3812 0.8564 0.3812 P
0.3812 0.3812 0.3812 P
0.7500 0.7500 0.7500 W
0.0000 0.0000 0.0000 Cl
```

Results
DOS(E_F) ... 0.545 states/eV per atom
E_form (uncorrected) ... 0.965 eV/atom
Calculated total energy ... -5.108 eV per atom

---

No. 2
This record from Alexandria describes an optimized crystal structure of PWCl2. The functional is PBE-GGA.

Geometry as POSCAR:
```
PWCl2
1.0
3.1229 -0.0244 0.0000
-1.8266 2.5331 0.0000
0.0000 0.0000 12.0156
Cl P W
2 1 1
direct
0.0000 0.0000 0.9146 Cl
0.0000 0.0000 0.5854 Cl
0.5000 0.5000 0.2500 P
0.5000 0.5000 0.7500 W
```

Results
DOS(E_F) ... 0.903 states/eV per atom
E_form (uncorrected) ... 0.469 eV/atom
Relative energy among the computed polymorphs ... 0.785 eV per atom
Calculated total energy ... -5.045 eV per atom

---

No. 3
This record from Alexandria describes an optimized crystal structure of PW2Cl. The functional is PBE-GGA.

Geometry as POSCAR:
```
PW2Cl
1.0
4.7874 -0.0100 0.0000
1.4583 4.5599 0.0000
-3.1229 -2.2749 2.8270
Cl P W
1 1 2
direct
0.5000 0.5000 0.0000 Cl
0.7500 0.2500 0.5000 P
0.0000 0.0000 0.0000 W
0.2500 0.7500 0.5000 W
```

Results
DOS(E_F) ... 0.849 states/eV per atom
E_form (uncorrected) ... 0.913 eV/atom
Relative energy among the computed polymorphs ... 0.983 eV per atom
Calculated total energy ... -7.377 eV per atom

---

No. 4
This record from Alexandria describes an optimized crystal structure of P3WCl. The functional is PBE-GGA.

Geometry as POSCAR:
```
P3WCl
1.0
4.7031 0.0000 0.0000
0.0000 4.7031 0.0000
0.0000 0.0000 4.7031
P W Cl
3 1 1
direct
0.0000 0.5000 0.0000 P
0.0000 0.0000 0.5000 P
0.5000 0.0000 0.0000 P
0.0000 0.0000 0.0000 W
0.5000 0.5000 0.5000 Cl
```

Results
DOS(E_F) ... 0.874 states/eV per atom
E_form (uncorrected) ... 0.409 eV/atom
Relative energy among the computed polymorphs ... 0.000 eV per atom
Calculated total energy ... -5.797 eV per atom

---

No. 5
This record from Alexandria describes an optimized crystal structure of PW2Cl. The functional is PBE-GGA.

Geometry as POSCAR:
```
PW2Cl
1.0
5.8292 -0.0012 -0.0006
3.7534 4.4600 0.0006
-4.5200 -2.8125 2.3747
Cl P W
1 1 2
direct
0.4774 0.4774 0.0000 Cl
0.2169 0.7169 0.5000 P
0.0339 0.0339 0.0000 W
0.7718 0.2718 0.5000 W
```

Results
DOS(E_F) ... 0.689 states/eV per atom
E_form (uncorrected) ... 0.510 eV/atom
Relative energy among the computed polymorphs ... 0.579 eV per atom
Calculated total energy ... -7.781 eV per atom

---

No. 6
This record from Alexandria describes an optimized crystal structure of PWCl2. The functional is PBE-GGA.

Geometry as POSCAR:
```
PWCl2
1.0
-2.4302 -0.1817 -3.9467
0.4729 -4.6136 -0.0787
-2.5504 -0.2884 1.5836
Cl P W
2 1 1
direct
0.0000 0.0000 0.0000 Cl
0.5000 0.5000 0.0000 Cl
0.5000 0.0000 0.5000 P
0.0000 0.5000 0.5000 W
```

Results
DOS(E_F) ... 1.212 states/eV per atom
E_form (uncorrected) ... 1.265 eV/atom
Relative energy among the computed polymorphs ... 1.581 eV per atom
Calculated total energy ... -4.249 eV per atom

---

No. 7
This record from Alexandria describes an optimized crystal structure of PW2Cl. The functional is PBE-GGA.

Geometry as POSCAR:
```
PW2Cl
1.0
-4.1006 -0.9813 1.3289
-3.4401 -2.3359 -1.5012
-1.3592 -6.6341 2.8581
Cl P W
1 1 2
direct
0.7500 0.7500 0.7500 Cl
0.2500 0.2500 0.2500 P
0.0271 0.0271 0.1090 W
0.4729 0.4729 0.3910 W
```

Results
DOS(E_F) ... 0.563 states/eV per atom
E_form (uncorrected) ... 0.344 eV/atom
Relative energy among the computed polymorphs ... 0.413 eV per atom
Calculated total energy ... -7.947 eV per atom

---

No. 8
This record from Alexandria describes an optimized crystal structure of PWCl2. The functional is PBE-GGA.

Geometry as POSCAR:
```
PWCl2
1.0
4.3854 0.0000 0.0000
0.0000 4.0047 0.0000
0.0000 0.0000 4.0047
Cl P W
2 1 1
direct
0.0000 0.0000 0.0000 Cl
0.0000 0.5000 0.5000 Cl
0.5000 0.5000 0.0000 P
0.5000 0.0000 0.5000 W
```

Results
DOS(E_F) ... 0.774 states/eV per atom
E_form (uncorrected) ... 1.208 eV/atom
Relative energy among the computed polymorphs ... 1.524 eV per atom
Calculated total energy ... -4.306 eV per atom